No. 1
VASP calculation (PBE) on a relaxed TaCd3 crystal.

CIF file:
```
data_TaCd3
_chemical_formula_sum 'Ta1 Cd3'
_cell_length_a 2.935
_cell_length_b 4.450
_cell_length_c 6.243
_cell_angle_alpha 90.00
_cell_angle_beta 90.00
_cell_angle_gamma 90.00
_space_group_name_H-M_alt 'P m m m'
_space_group_IT_number 47
loop_
_space_group_symop_operation_xyz
'x,y,z'
'-x,-y,-z'
'-x,-y,z'
'x,y,-z'
'x,-y,-z'
'-x,y,z'
'-x,y,-z'
'x,-y,z'
loop_
_atom_site_label
_atom_site_fract_x
_atom_site_fract_y
_atom_site_fract_z
_atom_site_occupancy
Ta1 0.000 0.000 0.000 1
Cd1 0.000 0.000 0.500 1
Cd2 0.500 0.500 0.237 1
```

Summary:
ρ (Mg/m³): 10.55

No. 2
VASP calculation (PBE) on a relaxed Tb2TaCd crystal.

CIF file:
```
data_Tb2TaCd
_chemical_formula_sum 'Tb6 Ta3 Cd3'
_cell_length_a 3.1496
_cell_length_b 3.1496
_cell_length_c 35.1544
_cell_angle_alpha 90.00
_cell_angle_beta 90.00
_cell_angle_gamma 120.00
_space_group_name_H-M_alt 'R -3 m'
_space_group_IT_number 166
_space_group_name_Hall '-R 3 2"'
loop_
_atom_site_label
_atom_site_fract_x
_atom_site_fract_y
_atom_site_fract_z
_atom_site_occupancy
Tb1 0.0000 0.0000 0.0854 1
Ta1 0.0000 0.0000 0.0000 1
Cd1 0.0000 0.0000 0.5000 1
```

Summary:
ρ (Mg/m³): 10.08

| no. | final energy (eV/atom) | formation energy from the elements (meV/atom) |
| --- | --- | --- |
| 1 | -3.308 | 341 |
| 2 | -4.981 | 526 |